Density functional theory data (PBE) for crystalline PrSmPu2N4 at its relaxed geometry.

Formation energy (no corrections) (eV per atom): -1.333
Mass density (g/cm³): 11.00

Geometry as extended XYZ:
```
8
Lattice="6.1323 0.0000 0.0000 0.0000 3.5477 0.0000 -2.0532 0.0000 5.7956" Properties=species:S:1:pos:R:3 pbc="T T T"
Pr 0.0000 0.0000 0.0000
Sm -1.0266 1.7738 2.8978
Pu 2.0396 0.0000 2.8978
Pu 3.0661 1.7738 0.0000
N 0.1337 0.0000 4.3641
N 1.1615 1.7738 1.5313
N 2.9176 1.7738 4.2643
N 3.9454 0.0000 1.4315
```